Below is MgCo2Ir after structural relaxation, with properties calculated at the PBE-GGA level.

Lattice parameters (Å, degrees): 2.9765 4.1853 5.9636 45.55 90.00 90.00
Closest atoms and distances in Å follow each position.
Element x y z (fractional)
Co 0.0000 0.0000 0.0000  4 Co 2.57, 4 Ir 2.60
Co 0.5000 0.5000 0.0000  4 Co 2.57, 4 Mg 2.60
Mg 0.0000 0.0000 0.5000  4 Ir 2.57, 4 Co 2.60
Ir 0.5000 0.5000 0.5000  4 Mg 2.57, 4 Co 2.60

Values from the calculation:
- Energy of formation: 53 meV/atom
- Final energy: -6.114 eV/atom
- Symmetry: P2/m, No. 10